Entry 1:
The following is a DFT calculation (PBE) of an optimized crystal structure of HfZrCo.

Results
**Space group**: I4mm (107)
**ρ**: 10059 kg/m³
**Energy of formation**: -213 meV/atom
**Calculated volume**: 18.08 Å³ per atom
**E_tot**: -26.2 eV per cell
**M_tot**: 0.1665 μB per atom

Cell lengths 5.739, 5.739, 5.739 Å; angles 147.54, 147.54, 46.56 degrees
Fractional coordinates of all 3 atoms:
Hf 0.000 0.000 0.000
Zr 0.699 0.699 0.000
Co 0.356 0.356 0.000



Entry 2:
The following is a DFT calculation (PBE) of an optimized crystal structure of TaCoSn2S.

Results
**Space group**: P4/mmm (123)
**ρ**: 7818 kg/m³
**Calculated volume**: 21.64 Å³ per atom
**E_tot**: -28.6 eV per cell
**ΔE_f (raw)**: 0.496 eV per atom
**M_tot**: 0.1798 μB per atom

Cell lengths 4.784, 4.784, 4.728 Å; angles 90.00, 90.00, 90.00 degrees
Fractional coordinates of all 5 atoms:
Ta 0.000 0.000 0.000
Co 0.000 0.000 0.500
Sn 0.000 0.500 0.500
Sn 0.500 0.000 0.500
S 0.500 0.500 0.000



Entry 3:
The following is a DFT calculation (PBE) of an optimized crystal structure of SrMo2Br.

Results
**Space group**: I-42d (122)
**ρ**: 6242 kg/m³
**Calculated volume**: 23.90 Å³ per atom
**E_tot**: -44.6 eV per cell
**ΔE_f (raw)**: 0.677 eV per atom
**M_tot**: 0.0000 μB per atom

Cell lengths 12.517, 12.517, 12.517 Å; angles 161.80, 161.80, 25.85 degrees
Fractional coordinates of all 8 atoms:
Sr 0.000 0.000 0.000
Sr 0.750 0.250 0.500
Mo 0.179 0.125 0.554
Mo 0.375 0.821 0.946
Mo 0.571 0.625 0.446
Mo 0.875 0.429 0.054
Br 0.250 0.750 0.500
Br 0.500 0.500 0.000



Entry 4:
The following is a DFT calculation (PBE) of an optimized crystal structure of TaMnCu2.

Results
**Space group**: P4/mmm (123)
**ρ**: 10622 kg/m³
**Energy of formation**: 175 meV/atom
**Calculated volume**: 14.19 Å³ per atom
**E_tot**: -28.5 eV per cell
**M_tot**: 0.9172 μB per atom

Cell lengths 2.767, 2.767, 7.409 Å; angles 90.00, 90.00, 90.00 degrees
Fractional coordinates of all 4 atoms:
Ta 0.000 0.000 0.000
Mn 0.000 0.000 0.500
Cu 0.500 0.500 0.266
Cu 0.500 0.500 0.734



Entry 5:
The following is a DFT calculation (PBE) of an optimized crystal structure of TiB3Ir.

Results
**Space group**: Pm-3m (221)
**ρ**: 7519 kg/m³
**Energy of formation**: 1736 meV/atom
**Calculated volume**: 12.04 Å³ per atom
**E_tot**: -28.1 eV per cell
**M_tot**: 0.0000 μB per atom

Cell lengths 3.919, 3.919, 3.919 Å; angles 90.00, 90.00, 90.00 degrees
Fractional coordinates of all 5 atoms:
Ti 0.000 0.000 0.000
B 0.000 0.000 0.500
B 0.000 0.500 0.000
B 0.500 0.000 0.000
Ir 0.500 0.500 0.500



Entry 6:
The following is a DFT calculation (PBE) of an optimized crystal structure of RuSeIBr2.

Results
**Space group**: P4/mmm (123)
**ρ**: 6008 kg/m³
**Calculated volume**: 25.80 Å³ per atom
**E_tot**: -16.3 eV per cell
**ΔE_f (raw)**: 0.265 eV per atom
**M_tot**: 0.0000 μB per atom

Cell lengths 5.184, 5.184, 4.800 Å; angles 90.00, 90.00, 90.00 degrees
Fractional coordinates of all 5 atoms:
Ru 0.000 0.000 0.000
Se 0.000 0.000 0.500
I 0.500 0.500 0.500
Br 0.000 0.500 0.000
Br 0.500 0.000 0.000



Entry 7:
The following is a DFT calculation (PBE) of an optimized crystal structure of CrPRu.

Results
**Space group**: P2_1/m (11)
**ρ**: 8246 kg/m³
**Energy of formation**: -325 meV/atom
**Calculated volume**: 12.35 Å³ per atom
**E_tot**: -50.6 eV per cell
**M_tot**: 0.0000 μB per atom

Cell lengths 4.119, 2.911, 6.257 Å; angles 90.00, 98.87, 90.00 degrees
Fractional coordinates of all 6 atoms:
Cr 0.240 0.250 0.476
Cr 0.760 0.750 0.524
P 0.170 0.750 0.182
P 0.830 0.250 0.818
Ru 0.312 0.750 0.826
Ru 0.688 0.250 0.174



Entry 8:
The following is a DFT calculation (PBE) of an optimized crystal structure of Cs6HfBi4.

Results
**Space group**: P6_3mc (186)
**ρ**: 4812 kg/m³
**Energy of formation**: -328 meV/atom
**Calculated volume**: 56.84 Å³ per atom
**E_tot**: -68.4 eV per cell
**M_tot**: 0.1833 μB per atom

Cell lengths 12.196, 12.196, 9.709 Å; angles 90.00, 90.00, 120.00 degrees
Fractional coordinates of all 22 atoms:
Cs 0.063 0.531 0.000
Cs 0.143 0.286 0.316
Cs 0.143 0.857 0.316
Cs 0.286 0.143 0.816
Cs 0.469 0.531 0.000
Cs 0.469 0.937 0.000
Cs 0.531 0.063 0.500
Cs 0.531 0.469 0.500
Cs 0.714 0.857 0.316
Cs 0.857 0.143 0.816
Cs 0.857 0.714 0.816
Cs 0.937 0.469 0.500
Hf 0.333 0.667 0.610
Hf 0.667 0.333 0.110
Bi 0.203 0.406 0.699
Bi 0.203 0.797 0.699
Bi 0.333 0.667 0.315
Bi 0.406 0.203 0.199
Bi 0.594 0.797 0.699
Bi 0.667 0.333 0.815
Bi 0.797 0.203 0.199
Bi 0.797 0.594 0.199



Entry 9:
The following is a DFT calculation (PBE) of an optimized crystal structure of CaAlMo2.

Results
**Space group**: Cmm2 (35)
**ρ**: 5813 kg/m³
**Energy of formation**: 290 meV/atom
**Calculated volume**: 18.49 Å³ per atom
**E_tot**: -26.2 eV per cell
**M_tot**: 0.0000 μB per atom

Cell lengths 2.873, 2.873, 9.459 Å; angles 90.00, 90.00, 108.63 degrees
Fractional coordinates of all 4 atoms:
Ca 0.000 0.000 0.000
Al 0.500 0.500 0.721
Mo 0.000 0.000 0.496
Mo 0.500 0.500 0.279



Entry 10:
The following is a DFT calculation (PBE) of an optimized crystal structure of NdBi2RhO8.

Results
**Space group**: P2/m (10)
**ρ**: 7476 kg/m³
**Calculated volume**: 14.68 Å³ per atom
**E_tot**: -75.2 eV per cell
**ΔE_f (raw)**: -1.301 eV per atom
**M_tot**: 0.0813 μB per atom

Cell lengths 5.045, 6.910, 5.054 Å; angles 90.00, 91.26, 90.00 degrees
Fractional coordinates of all 12 atoms:
Nd 0.000 0.000 0.000
Bi 0.500 0.259 0.500
Bi 0.500 0.741 0.500
Rh 0.000 0.500 0.000
O 0.199 0.280 0.179
O 0.199 0.720 0.179
O 0.265 0.500 0.712
O 0.311 0.000 0.666
O 0.689 0.000 0.334
O 0.735 0.500 0.288
O 0.801 0.280 0.821
O 0.801 0.720 0.821



Entry 11:
The following is a DFT calculation (PBE) of an optimized crystal structure of ThZrCdIn.

Results
**Space group**: P4mm (99)
**ρ**: 9227 kg/m³
**Energy of formation**: -181 meV/atom
**Calculated volume**: 24.77 Å³ per atom
**E_tot**: -20.3 eV per cell
**M_tot**: 0.0000 μB per atom

Cell lengths 3.311, 3.311, 9.037 Å; angles 90.00, 90.00, 90.00 degrees
Fractional coordinates of all 4 atoms:
Th 0.000 0.000 0.000
Zr 0.000 0.000 0.501
Cd 0.500 0.500 0.730
In 0.500 0.500 0.272



Entry 12:
The following is a DFT calculation (PBE) of an optimized crystal structure of LaMn3.

Results
**Space group**: Pmm2 (25)
**ρ**: 6741 kg/m³
**Energy of formation**: 476 meV/atom
**Calculated volume**: 18.70 Å³ per atom
**E_tot**: -30.5 eV per cell
**M_tot**: 0.7340 μB per atom

Cell lengths 2.981, 3.792, 6.618 Å; angles 90.00, 90.00, 90.00 degrees
Fractional coordinates of all 4 atoms:
La 0.000 0.000 0.000
Mn 0.000 0.500 0.377
Mn 0.500 0.000 0.486
Mn 0.500 0.500 0.697



Entry 13:
The following is a DFT calculation (PBE) of an optimized crystal structure of Ce2PdPt8.

Results
**Space group**: P4/mmm (123)
**ρ**: 16009 kg/m³
**Energy of formation**: -567 meV/atom
**Calculated volume**: 18.36 Å³ per atom
**E_tot**: -71.6 eV per cell
**M_tot**: 0.0000 μB per atom

Cell lengths 4.142, 4.142, 11.774 Å; angles 90.00, 90.00, 90.00 degrees
Fractional coordinates of all 11 atoms:
Ce 0.000 0.000 0.181
Ce 0.000 0.000 0.819
Pd 0.000 0.000 0.500
Pt 0.000 0.500 0.000
Pt 0.000 0.500 0.350
Pt 0.000 0.500 0.650
Pt 0.500 0.000 0.000
Pt 0.500 0.000 0.350
Pt 0.500 0.000 0.650
Pt 0.500 0.500 0.177
Pt 0.500 0.500 0.823



Entry 14:
The following is a DFT calculation (PBE) of an optimized crystal structure of MgVBi3.

Results
**Space group**: Pm-3m (221)
**ρ**: 7732 kg/m³
**Energy of formation**: 375 meV/atom
**Calculated volume**: 30.16 Å³ per atom
**E_tot**: -20.5 eV per cell
**M_tot**: 0.0003 μB per atom

Cell lengths 5.323, 5.323, 5.323 Å; angles 90.00, 90.00, 90.00 degrees
Fractional coordinates of all 5 atoms:
Mg 0.000 0.000 0.000
V 0.500 0.500 0.500
Bi 0.000 0.500 0.500
Bi 0.500 0.000 0.500
Bi 0.500 0.500 0.000



Entry 15:
The following is a DFT calculation (PBE) of an optimized crystal structure of Ho8ErTe2.

Results
**Space group**: C2/m (12)
**ρ**: 7950 kg/m³
**Calculated volume**: 33.08 Å³ per atom
**E_tot**: -48.6 eV per cell
**ΔE_f (raw)**: -0.106 eV per atom
**M_tot**: 0.0000 μB per atom

Cell lengths 8.585, 8.585, 5.693 Å; angles 97.08, 97.08, 61.18 degrees
Fractional coordinates of all 11 atoms:
Ho 0.105 0.735 0.727
Ho 0.145 0.145 0.791
Ho 0.265 0.895 0.273
Ho 0.285 0.285 0.370
Ho 0.715 0.715 0.630
Ho 0.735 0.105 0.727
Ho 0.855 0.855 0.209
Ho 0.895 0.265 0.273
Er 0.500 0.500 0.500
Te 0.369 0.369 0.915
Te 0.631 0.631 0.085



Entry 16:
The following is a DFT calculation (PBE) of an optimized crystal structure of ScBe3.

Results
**Space group**: C2/m (12)
**ρ**: 2390 kg/m³
**Energy of formation**: -74 meV/atom
**Calculated volume**: 12.50 Å³ per atom
**E_tot**: -17.8 eV per cell
**M_tot**: 0.0000 μB per atom

Cell lengths 3.599, 3.599, 4.916 Å; angles 111.37, 111.37, 59.95 degrees
Fractional coordinates of all 4 atoms:
Sc 0.000 0.000 0.000
Be 0.196 0.196 0.587
Be 0.500 0.500 0.500
Be 0.804 0.804 0.413



Entry 17:
The following is a DFT calculation (PBE) of an optimized crystal structure of HoSi3.

Results
**Space group**: I4/mmm (139)
**ρ**: 5942 kg/m³
**Calculated volume**: 17.41 Å³ per atom
**E_tot**: -89.0 eV per cell
**ΔE_f (raw)**: -0.352 eV per atom
**M_tot**: 0.0000 μB per atom

Cell lengths 7.407, 7.407, 7.407 Å; angles 121.91, 121.91, 86.73 degrees
Fractional coordinates of all 16 atoms:
Ho 0.171 0.171 0.000
Ho 0.250 0.750 0.500
Ho 0.750 0.250 0.500
Ho 0.829 0.829 0.000
Si 0.000 0.327 0.327
Si 0.000 0.673 0.673
Si 0.200 0.200 0.627
Si 0.200 0.573 0.000
Si 0.327 0.000 0.327
Si 0.427 0.427 0.627
Si 0.427 0.800 0.000
Si 0.573 0.200 0.000
Si 0.573 0.573 0.373
Si 0.673 0.000 0.673
Si 0.800 0.427 0.000
Si 0.800 0.800 0.373



Entry 18:
The following is a DFT calculation (PBE) of an optimized crystal structure of CsMo2PBr.

Results
**Space group**: P4/mmm (123)
**ρ**: 4076 kg/m³
**Calculated volume**: 35.50 Å³ per atom
**E_tot**: -26.6 eV per cell
**ΔE_f (raw)**: 0.596 eV per atom
**M_tot**: 1.4022 μB per atom

Cell lengths 4.798, 4.798, 7.712 Å; angles 90.00, 90.00, 90.00 degrees
Fractional coordinates of all 5 atoms:
Cs 0.000 0.000 0.000
Mo 0.000 0.500 0.500
Mo 0.500 0.000 0.500
P 0.000 0.000 0.500
Br 0.500 0.500 0.000



Entry 19:
The following is a DFT calculation (PBE) of an optimized crystal structure of SrTlRe2.

Results
**Space group**: I-4m2 (119)
**ρ**: 13723 kg/m³
**Energy of formation**: 1090 meV/atom
**Calculated volume**: 20.10 Å³ per atom
**E_tot**: -24.6 eV per cell
**M_tot**: 0.0000 μB per atom

Cell lengths 4.847, 4.847, 4.847 Å; angles 120.08, 120.08, 89.85 degrees
Fractional coordinates of all 4 atoms:
Sr 0.000 0.000 0.000
Tl 0.250 0.750 0.500
Re 0.500 0.500 0.000
Re 0.750 0.250 0.500



Entry 20:
The following is a DFT calculation (PBE) of an optimized crystal structure of MgCoPdBr2.

Results
**Space group**: P4/mmm (123)
**ρ**: 4289 kg/m³
**Calculated volume**: 27.06 Å³ per atom
**E_tot**: -14.3 eV per cell
**ΔE_f (raw)**: 0.592 eV per atom
**M_tot**: 0.5958 μB per atom

Cell lengths 5.162, 5.162, 5.079 Å; angles 90.00, 90.00, 90.00 degrees
Fractional coordinates of all 5 atoms:
Mg 0.000 0.000 0.000
Co 0.500 0.500 0.000
Pd 0.000 0.000 0.500
Br 0.000 0.500 0.500
Br 0.500 0.000 0.500